(P)
## Tl2CoSb (SCAN)

Data for a crystal of Tl2CoSb relaxed with PBEsol.

```
Tl2CoSb
1.0
3.1811 0.0000 0.0000
0.0000 3.1811 0.0000
0.0000 0.0000 8.6621
Co Sb Tl
1 1 2
direct
0.0000 0.0000 0.5231
0.5000 0.5000 0.6751
0.0000 0.0000 0.9976
0.5000 0.5000 0.3041
```

The value obtained for the spin magnetization is 1.06 μB per cell. The theoretical density is 11.2 g/cm³. The density of states at the Fermi level comes out at 0.432 states/eV/atom. Its space group is P4mm (99).

(Q)
## Tl2CoSb (SCAN)

Data for a crystal of Tl2CoSb relaxed with PBEsol.

```
Tl2CoSb
1.0
-2.1220 2.5431 0.2302
-3.2295 -0.4724 -0.6088
-3.1675 -1.2662 8.7318
Co Sb Tl
1 1 2
direct
0.5000 0.5000 0.5000
0.0000 0.0000 0.0000
0.2340 0.2340 0.2979
0.7660 0.7660 0.7021
```

The value obtained for the spin magnetization is 1.49 μB per cell. The theoretical density is 11.2 g/cm³. The density of states at the Fermi level comes out at 0.786 states/eV/atom. Its space group is R-3m (166).

Relative energies in meV per atom: (P) 0; (Q) 311